# SrIr2W (GGA-PBE, optimized geometry)
data_SrIr2W
_chemical_formula_sum 'Sr1 Ir2 W1'
_space_group_name_H-M_alt 'P 4/m m m'
_space_group_IT_number 123
_space_group_name_Hall '-P 4 2'
_cell_length_a 5.0156
_cell_length_b 5.0156
_cell_length_c 2.8766
_cell_angle_alpha 90.00
_cell_angle_beta 90.00
_cell_angle_gamma 90.00
loop_
_atom_site_label
_atom_site_type_symbol
_atom_site_fract_x
_atom_site_fract_y
_atom_site_fract_z
Sr1 Sr 0.0000 0.0000 0.0000
Ir1 Ir 0.0000 0.5000 0.5000
W1 W 0.5000 0.5000 0.0000
# * total magnetization: 0.0 μB/cell
# * ΔE to the lowest computed polymorph: 382 meV/atom
# * DFT total energy: -7.68 eV/atom
# * E_form: 1.65 eV/f.u.